1.
Density functional theory data (PBE) for an optimized crystal structure of PmNdCuIr. Values from VASP.

Geometry as Quantum ESPRESSO input:
```
&SYSTEM
  ibrav = 0, nat = 4, ntyp = 4
/
ATOMIC_SPECIES
Pm 145.00 Pm.upf
Nd 144.24 Nd.upf
Cu 63.55 Cu.upf
Ir 192.22 Ir.upf
ATOMIC_POSITIONS angstrom
Pm 0.000 0.000 0.000
Nd 2.206 0.000 2.957
Cu 0.000 0.000 7.570
Ir 2.206 0.000 5.988
CELL_PARAMETERS angstrom
4.412 0.000 0.000
0.000 1.988 5.337
0.000 -1.988 5.337
```

Calculated values
E_tot   -6.093 eV per atom
V   94 Å³ per cell
Calculated formation energy   -0.47 eV per atom
ΔE to the lowest computed polymorph   0.000 eV per atom
Total magnetization   0.000 μB per atom



2.
Density functional theory data (PBE) for an optimized crystal structure of LiPm2Pr2. Values from VASP.

Geometry as Quantum ESPRESSO input:
```
&SYSTEM
  ibrav = 0, nat = 5, ntyp = 3
/
ATOMIC_SPECIES
Li 6.94 Li.upf
Pm 145.00 Pm.upf
Pr 140.91 Pr.upf
ATOMIC_POSITIONS angstrom
Li 0.000 0.000 0.000
Pm 0.000 0.000 7.257
Pm 0.000 0.000 10.449
Pr 2.265 0.000 4.426
Pr 0.000 2.265 4.426
CELL_PARAMETERS angstrom
-2.265 2.265 8.853
2.265 -2.265 8.853
2.265 2.265 -8.853
```

Calculated values
E_tot   -3.732 eV per atom
V   182 Å³ per cell
Calculated formation energy   0.46 eV per atom
Total magnetization   0.000 μB per atom



3.
Density functional theory data (PBE) for an optimized crystal structure of Sb3AuCl. Values from VASP.

Geometry as Quantum ESPRESSO input:
```
&SYSTEM
  ibrav = 0, nat = 5, ntyp = 3
/
ATOMIC_SPECIES
Sb 121.76 Sb.upf
Au 196.97 Au.upf
Cl 35.45 Cl.upf
ATOMIC_POSITIONS angstrom
Sb 0.000 0.000 2.644
Sb 0.000 2.644 0.000
Sb 2.644 0.000 0.000
Au 2.644 2.644 2.644
Cl 0.000 0.000 0.000
CELL_PARAMETERS angstrom
5.288 0.000 0.000
0.000 5.288 0.000
0.000 0.000 5.288
```

Calculated values
E_tot   -2.539 eV per atom
V   148 Å³ per cell
ΔE to the lowest computed polymorph   0.953 eV per atom
Total magnetization   0.000 μB per atom
Energy relative to the elements, uncorrected   92.6 kJ/mol of atoms



4.
Density functional theory data (PBE) for an optimized crystal structure of Cs2AgHI. Values from VASP.

Geometry as Quantum ESPRESSO input:
```
&SYSTEM
  ibrav = 0, nat = 5, ntyp = 4
/
ATOMIC_SPECIES
Cs 132.91 Cs.upf
Ag 107.87 Ag.upf
H 1.01 H.upf
I 126.90 I.upf
ATOMIC_POSITIONS angstrom
Cs 0.000 3.239 0.000
Cs 3.239 0.000 0.000
Ag 0.000 0.000 2.137
H 0.000 0.000 0.000
I 3.239 3.239 2.137
CELL_PARAMETERS angstrom
6.478 0.000 0.000
0.000 6.478 0.000
0.000 0.000 4.274
```

Calculated values
E_tot   -2.412 eV per atom
V   179 Å³ per cell
Total magnetization   0.000 μB per atom



5.
Density functional theory data (PBE) for an optimized crystal structure of TlH6IN2. Values from VASP.

Geometry as Quantum ESPRESSO input:
```
&SYSTEM
  ibrav = 0, nat = 20, ntyp = 4
/
ATOMIC_SPECIES
Tl 204.38 Tl.upf
H 1.01 H.upf
I 126.90 I.upf
N 14.01 N.upf
ATOMIC_POSITIONS angstrom
Tl 5.248 3.057 5.307
Tl 5.305 -3.057 1.769
H 2.535 1.233 5.189
H 3.467 1.105 3.827
H 3.806 0.143 5.119
H 2.592 -1.233 1.651
H 3.863 -0.143 1.581
H 3.525 -1.105 0.289
H 7.029 1.105 6.786
H 6.690 0.143 5.495
H 7.961 1.233 5.425
H 6.748 -0.143 1.957
H 7.086 -1.105 3.249
H 8.018 -1.233 1.887
I 5.305 2.407 1.769
I 5.248 -2.407 5.307
N 3.491 1.081 4.850
N 3.549 -1.081 1.312
N 7.005 1.081 5.764
N 7.062 -1.081 2.226
CELL_PARAMETERS angstrom
5.334 -4.876 0.000
5.334 4.876 0.000
-0.114 0.000 7.076
```

Calculated values
E_tot   -4.486 eV per atom
V   368 Å³ per cell
Total magnetization   0.000 μB per atom



6.
Density functional theory data (PBE) for an optimized crystal structure of SrRu3O. Values from VASP.

Geometry as Quantum ESPRESSO input:
```
&SYSTEM
  ibrav = 0, nat = 5, ntyp = 3
/
ATOMIC_SPECIES
Sr 87.62 Sr.upf
Ru 101.07 Ru.upf
O 16.00 O.upf
ATOMIC_POSITIONS angstrom
Sr 0.000 0.000 0.000
Ru 0.000 2.135 2.135
Ru 2.135 0.000 2.135
Ru 2.135 2.135 0.000
O 2.135 2.135 2.135
CELL_PARAMETERS angstrom
4.270 0.000 0.000
0.000 4.270 0.000
0.000 0.000 4.270
```

Calculated values
E_tot   -6.495 eV per atom
V   78 Å³ per cell
ΔE to the lowest computed polymorph   0.000 eV per atom
Total magnetization   0.000 μB per atom
Energy relative to the elements, uncorrected   38.4 kJ/mol of atoms



7.
Density functional theory data (PBE) for an optimized crystal structure of La2Pr5AlHg2. Values from VASP.

Geometry as Quantum ESPRESSO input:
```
&SYSTEM
  ibrav = 0, nat = 20, ntyp = 4
/
ATOMIC_SPECIES
La 138.91 La.upf
Pr 140.91 Pr.upf
Al 26.98 Al.upf
Hg 200.59 Hg.upf
ATOMIC_POSITIONS angstrom
La 2.338 4.107 0.000
La 4.107 10.551 0.000
La 8.782 2.338 0.000
La 10.551 8.782 0.000
Pr 0.000 6.444 1.989
Pr 0.647 10.420 1.989
Pr 2.468 0.647 1.989
Pr 3.976 7.091 1.989
Pr 5.797 3.976 1.989
Pr 6.444 0.000 1.989
Pr 7.091 8.913 1.989
Pr 8.913 5.797 1.989
Pr 10.420 12.241 1.989
Pr 12.241 2.468 1.989
Al 0.000 0.000 0.000
Al 6.444 6.444 0.000
Hg 1.708 8.152 0.000
Hg 4.737 1.708 0.000
Hg 8.152 11.181 0.000
Hg 11.181 4.737 0.000
CELL_PARAMETERS angstrom
12.889 0.000 0.000
0.000 12.889 0.000
0.000 0.000 3.979
```

Calculated values
E_tot   -4.048 eV per atom
V   661 Å³ per cell
Calculated formation energy   -0.24 eV per atom
Total magnetization   0.000 μB per atom



8.
Density functional theory data (PBE) for an optimized crystal structure of CoHCS. Values from VASP.

Geometry as Quantum ESPRESSO input:
```
&SYSTEM
  ibrav = 0, nat = 4, ntyp = 4
/
ATOMIC_SPECIES
Co 58.93 Co.upf
H 1.01 H.upf
C 12.01 C.upf
S 32.06 S.upf
ATOMIC_POSITIONS angstrom
Co 0.000 0.000 0.000
H 3.210 0.000 3.213
C 2.956 0.000 4.291
S 4.705 0.000 0.657
CELL_PARAMETERS angstrom
3.364 -1.735 0.000
3.364 1.735 0.000
-0.532 0.000 4.962
```

Calculated values
E_tot   -5.601 eV per atom
V   58 Å³ per cell
ΔE to the lowest computed polymorph   0.024 eV per atom
Total magnetization   0.000 μB per atom



9.
Density functional theory data (PBE) for an optimized crystal structure of Pr2Nd2Ga. Values from VASP.

Geometry as Quantum ESPRESSO input:
```
&SYSTEM
  ibrav = 0, nat = 5, ntyp = 3
/
ATOMIC_SPECIES
Pr 140.91 Pr.upf
Nd 144.24 Nd.upf
Ga 69.72 Ga.upf
ATOMIC_POSITIONS angstrom
Pr 0.000 0.000 1.517
Pr 0.000 0.000 16.973
Nd 2.163 0.000 4.622
Nd 0.000 2.163 4.622
Ga 0.000 0.000 9.245
CELL_PARAMETERS angstrom
-2.163 2.163 9.245
2.163 -2.163 9.245
2.163 2.163 -9.245
```

Calculated values
E_tot   -4.135 eV per atom
V   173 Å³ per cell
Calculated formation energy   0.29 eV per atom
Total magnetization   0.000 μB per atom



10.
Density functional theory data (PBE) for an optimized crystal structure of ZrTiCd3. Values from VASP.

Geometry as Quantum ESPRESSO input:
```
&SYSTEM
  ibrav = 0, nat = 10, ntyp = 3
/
ATOMIC_SPECIES
Zr 91.22 Zr.upf
Ti 47.87 Ti.upf
Cd 112.41 Cd.upf
ATOMIC_POSITIONS angstrom
Zr -0.415 0.000 3.699
Zr 12.224 0.000 5.361
Ti 4.211 0.000 7.756
Ti 7.598 0.000 1.303
Cd 2.366 0.000 0.178
Cd 1.826 0.000 5.982
Cd 4.842 0.000 2.535
Cd 6.967 0.000 6.524
Cd 9.983 0.000 3.077
Cd 9.443 0.000 8.881
CELL_PARAMETERS angstrom
7.728 -1.510 0.000
7.728 1.510 0.000
-3.647 0.000 9.060
```

Calculated values
E_tot   -3.820 eV per atom
V   211 Å³ per cell
Calculated formation energy   0.02 eV per atom
ΔE to the lowest computed polymorph   0.000 eV per atom
Total magnetization   0.000 μB per atom



11.
Density functional theory data (PBE) for an optimized crystal structure of Mg6Sn3Ru. Values from VASP.

Geometry as Quantum ESPRESSO input:
```
&SYSTEM
  ibrav = 0, nat = 10, ntyp = 3
/
ATOMIC_SPECIES
Mg 24.30 Mg.upf
Sn 118.71 Sn.upf
Ru 101.07 Ru.upf
ATOMIC_POSITIONS angstrom
Mg 1.600 1.477 4.995
Mg -1.250 0.000 6.496
Mg 5.534 1.477 2.411
Mg 1.600 -1.477 4.995
Mg 8.384 0.000 0.909
Mg 5.534 -1.477 2.411
Sn 2.873 0.000 2.316
Sn 5.258 0.000 0.000
Sn 4.261 0.000 5.090
Ru -1.691 0.000 3.703
CELL_PARAMETERS angstrom
5.258 -2.868 0.000
5.258 2.868 0.000
-3.381 0.000 7.406
```

Calculated values
E_tot   -3.071 eV per atom
V   223 Å³ per cell
Calculated formation energy   0.01 eV per atom
Total magnetization   0.000 μB per atom



12.
Density functional theory data (PBE) for an optimized crystal structure of LaRuBr2. Values from VASP.

Geometry as Quantum ESPRESSO input:
```
&SYSTEM
  ibrav = 0, nat = 4, ntyp = 3
/
ATOMIC_SPECIES
La 138.91 La.upf
Ru 101.07 Ru.upf
Br 79.90 Br.upf
ATOMIC_POSITIONS angstrom
La 0.000 0.000 0.000
Ru 7.359 0.000 1.249
Br 3.102 0.000 0.087
Br 5.655 0.000 3.090
CELL_PARAMETERS angstrom
5.817 -1.860 0.000
5.817 1.860 0.000
-0.099 0.000 5.699
```

Calculated values
E_tot   -5.011 eV per atom
V   123 Å³ per cell
ΔE to the lowest computed polymorph   0.129 eV per atom
Total magnetization   0.258 μB per atom
Energy relative to the elements, uncorrected   -60.2 kJ/mol of atoms



13.
Density functional theory data (PBE) for an optimized crystal structure of BRuN3. Values from VASP.

Geometry as Quantum ESPRESSO input:
```
&SYSTEM
  ibrav = 0, nat = 5, ntyp = 3
/
ATOMIC_SPECIES
B 10.81 B.upf
Ru 101.07 Ru.upf
N 14.01 N.upf
ATOMIC_POSITIONS angstrom
B 0.000 0.000 0.000
Ru 1.916 1.916 1.916
N 0.000 1.916 1.916
N 1.916 0.000 1.916
N 1.916 1.916 0.000
CELL_PARAMETERS angstrom
3.832 0.000 0.000
0.000 3.832 0.000
0.000 0.000 3.832
```

Calculated values
E_tot   -6.021 eV per atom
V   56 Å³ per cell
Total magnetization   0.000 μB per atom
Energy relative to the elements, uncorrected   208.9 kJ/mol of atoms



14.
Density functional theory data (PBE) for an optimized crystal structure of Ce3Tl4AgS8. Values from VASP.

Geometry as Quantum ESPRESSO input:
```
&SYSTEM
  ibrav = 0, nat = 16, ntyp = 4
/
ATOMIC_SPECIES
Ce 140.12 Ce.upf
Tl 204.38 Tl.upf
Ag 107.87 Ag.upf
S 32.06 S.upf
ATOMIC_POSITIONS angstrom
Ce -2.049 -1.183 7.456
Ce -2.049 1.183 14.912
Ce 0.000 2.366 7.456
Tl -4.098 0.000 11.184
Tl -2.049 1.183 3.728
Tl 2.049 1.183 3.728
Tl 0.000 0.000 11.184
Ag 0.000 0.000 0.000
S 0.000 -2.280 8.952
S -1.974 1.140 8.952
S 0.000 0.000 5.942
S -1.974 -1.140 13.416
S 1.974 1.140 8.952
S 0.000 0.000 16.426
S 1.974 -1.140 13.416
S 0.000 2.280 13.416
CELL_PARAMETERS angstrom
4.098 2.366 7.456
-4.098 2.366 7.456
0.000 -4.732 7.456
```

Calculated values
E_tot   -5.079 eV per atom
V   434 Å³ per cell
Total magnetization   0.069 μB per atom
Energy relative to the elements, uncorrected   -109.3 kJ/mol of atoms



15.
Density functional theory data (PBE) for an optimized crystal structure of Ba6NaAu. Values from VASP.

Geometry as Quantum ESPRESSO input:
```
&SYSTEM
  ibrav = 0, nat = 8, ntyp = 3
/
ATOMIC_SPECIES
Ba 137.33 Ba.upf
Na 22.99 Na.upf
Au 196.97 Au.upf
ATOMIC_POSITIONS angstrom
Ba 3.181 3.613 2.057
Ba 8.865 8.664 5.822
Ba 7.756 6.249 2.061
Ba 8.861 3.371 5.819
Ba 7.752 0.956 2.058
Ba 13.436 6.007 5.823
Na 6.235 3.605 0.000
Au 2.073 1.205 3.940
CELL_PARAMETERS angstrom
8.318 0.000 0.000
4.153 7.211 0.000
4.146 2.409 7.880
```

Calculated values
E_tot   -2.133 eV per atom
V   473 Å³ per cell
Calculated formation energy   -0.12 eV per atom
ΔE to the lowest computed polymorph   0.025 eV per atom
Total magnetization   0.000 μB per atom



16.
Density functional theory data (PBE) for an optimized crystal structure of Ba4CdPt. Values from VASP.

Geometry as Quantum ESPRESSO input:
```
&SYSTEM
  ibrav = 0, nat = 6, ntyp = 3
/
ATOMIC_SPECIES
Ba 137.33 Ba.upf
Cd 112.41 Cd.upf
Pt 195.08 Pt.upf
ATOMIC_POSITIONS angstrom
Ba 3.723 3.723 3.723
Ba 6.176 6.176 3.723
Ba 6.176 3.723 6.176
Ba 3.723 6.176 6.176
Cd 0.000 0.000 0.000
Pt 7.425 7.425 7.425
CELL_PARAMETERS angstrom
0.000 4.950 4.950
4.950 0.000 4.950
4.950 4.950 0.000
```

Calculated values
E_tot   -1.931 eV per atom
V   243 Å³ per cell
Calculated formation energy   0.51 eV per atom
ΔE to the lowest computed polymorph   0.895 eV per atom
Total magnetization   0.000 μB per atom



17.
Density functional theory data (PBE) for an optimized crystal structure of PaNb4Te8. Values from VASP.

Geometry as Quantum ESPRESSO input:
```
&SYSTEM
  ibrav = 0, nat = 13, ntyp = 3
/
ATOMIC_SPECIES
Pa 231.04 Pa.upf
Nb 92.91 Nb.upf
Te 127.60 Te.upf
ATOMIC_POSITIONS angstrom
Pa 0.000 0.000 0.000
Nb -2.223 0.000 3.561
Nb 1.121 1.935 3.561
Nb 1.121 -1.935 3.561
Nb 4.465 0.000 3.561
Te 0.008 0.000 5.320
Te 2.339 0.000 1.796
Te 5.525 1.842 1.797
Te 3.405 1.842 5.326
Te 5.525 -1.842 1.797
Te 3.405 -1.842 5.326
Te 6.591 0.000 5.327
Te 8.922 0.000 1.803
CELL_PARAMETERS angstrom
6.688 -3.869 0.000
6.688 3.869 0.000
-4.446 0.000 7.123
```

Calculated values
E_tot   -6.144 eV per atom
V   369 Å³ per cell
Total magnetization   0.001 μB per atom
Energy relative to the elements, uncorrected   -36.8 kJ/mol of atoms



18.
Density functional theory data (PBE) for an optimized crystal structure of Y2BeCr. Values from VASP.

Geometry as Quantum ESPRESSO input:
```
&SYSTEM
  ibrav = 0, nat = 4, ntyp = 3
/
ATOMIC_SPECIES
Y 88.91 Y.upf
Be 9.01 Be.upf
Cr 52.00 Cr.upf
ATOMIC_POSITIONS angstrom
Y 0.000 0.000 0.000
Y 0.000 2.148 2.304
Be 2.148 0.000 2.304
Cr 0.000 0.000 4.609
CELL_PARAMETERS angstrom
-2.148 2.148 4.609
2.148 -2.148 4.609
2.148 2.148 -4.609
```

Calculated values
E_tot   -6.129 eV per atom
V   85 Å³ per cell
Calculated formation energy   0.44 eV per atom
Total magnetization   0.772 μB per atom



19.
Density functional theory data (PBE) for an optimized crystal structure of ReHgPt4. Values from VASP.

Geometry as Quantum ESPRESSO input:
```
&SYSTEM
  ibrav = 0, nat = 6, ntyp = 3
/
ATOMIC_SPECIES
Re 186.21 Re.upf
Hg 200.59 Hg.upf
Pt 195.08 Pt.upf
ATOMIC_POSITIONS angstrom
Re 0.000 0.000 0.000
Hg 5.605 5.605 5.605
Pt 2.800 2.800 2.800
Pt 4.673 4.673 2.800
Pt 4.673 2.800 4.673
Pt 2.800 4.673 4.673
CELL_PARAMETERS angstrom
0.000 3.736 3.736
3.736 0.000 3.736
3.736 3.736 0.000
```

Calculated values
E_tot   -5.664 eV per atom
V   104 Å³ per cell
Calculated formation energy   0.49 eV per atom
Total magnetization   0.480 μB per atom



20.
Density functional theory data (PBE) for an optimized crystal structure of ZrZnCr2. Values from VASP.

Geometry as Quantum ESPRESSO input:
```
&SYSTEM
  ibrav = 0, nat = 8, ntyp = 3
/
ATOMIC_SPECIES
Zr 91.22 Zr.upf
Zn 65.41 Zn.upf
Cr 52.00 Cr.upf
ATOMIC_POSITIONS angstrom
Zr 0.000 0.000 0.000
Zr 0.000 3.519 1.294
Zn 3.519 0.000 1.294
Zn 0.000 0.000 2.589
Cr 1.759 -1.579 1.942
Cr 1.939 1.759 0.647
Cr 1.759 5.098 -0.647
Cr 1.579 1.759 3.236
CELL_PARAMETERS angstrom
-3.519 3.519 2.589
3.519 -3.519 2.589
3.519 3.519 -2.589
```

Calculated values
E_tot   -6.484 eV per atom
V   128 Å³ per cell
Calculated formation energy   0.78 eV per atom
Total magnetization   0.003 μB per atom